No. 1
VASP calculation (PBE) on crystalline AlAg2Mo at its relaxed geometry.

abc: 5.464 8.956 2.730
angles: 90.00 90.00 90.00
Space group Cmmm (No. 65)
Inequivalent atoms, fractional coordinates:
1 Al 0.000 0.000 0.000 x2
2 Ag 0.250 0.250 0.500 x4
3 Mo 0.000 0.500 0.000 x2

Computed properties:
Energy relative to the elements, eV per formula unit: 1.17
Calculated total energy, eV per atom: -4.778
Crystal system: orthorhombic
Density of states at the Fermi level, states/eV/cell: 4.82
Total moment, μB/atom: 0.000

=====

No. 2
VASP calculation (PBE) on crystalline PaSi2Ir at its relaxed geometry.

abc: 4.0355 4.0355 15.0561
angles: 90.00 90.00 120.00
Space group R-3m (No. 166, hexagonal axes)
Inequivalent atoms, fractional coordinates:
1 Pa 0.0000 0.0000 0.0000 x3
2 Si 0.0000 0.0000 0.2160 x6
3 Ir 0.0000 0.0000 0.5000 x3

Computed properties:
Formation energy without anion corrections, kJ/mol of atoms: -77.4
Calculated total energy, eV per atom: -8.103
Crystal system: trigonal
Density of states at the Fermi level, states/eV/cell: 0.34
Total moment, μB/atom: 0.000

=====

No. 3
VASP calculation (PBE) on crystalline PmZrPa at its relaxed geometry.

abc: 3.3415 3.3415 8.2881
angles: 90.00 90.00 120.00
Space group P3m1 (No. 156)
Inequivalent atoms, fractional coordinates:
1 Pm 0.0000 0.0000 0.0000 x1
2 Zr 0.3333 0.6667 0.6547 x1
3 Pa 0.6667 0.3333 0.3430 x1

Computed properties:
Energy relative to the elements, eV per formula unit: 0.53
Calculated total energy, eV per atom: -7.423
Crystal system: trigonal
Density of states at the Fermi level, states/eV/cell: 4.37
Offset from the most stable computed form, eV/f.u.: 0.00
Total moment, μB/atom: 0.000

=====

No. 4
VASP calculation (PBE) on crystalline Pr2Zn3InGa4 at its relaxed geometry.

abc: 4.305 4.305 11.020
angles: 90.00 90.00 90.00
Space group P-4m2 (No. 115)
Inequivalent atoms, fractional coordinates:
1 Pr 0.000 0.500 0.242 x2
2 Zn 0.000 0.500 0.871 x2
3 Zn 0.500 0.500 0.500 x1
4 In 0.000 0.000 0.500 x1
5 Ga 0.000 0.000 0.000 x1
6 Ga 0.000 0.500 0.650 x2
7 Ga 0.500 0.500 0.000 x1

Computed properties:
Energy relative to the elements, eV per formula unit: -4.49
Calculated total energy, eV per atom: -3.271
Crystal system: tetragonal
Density of states at the Fermi level, states/eV/cell: 2.32
Total moment, μB/atom: 0.000

=====

No. 5
VASP calculation (PBE) on crystalline Pa2TlTe5 at its relaxed geometry.

abc: 8.320 8.320 15.235
angles: 90.00 90.00 90.00
Space group I4/mcm (No. 140)
Inequivalent atoms, fractional coordinates:
1 Pa 0.151 0.349 0.000 x8
2 Tl 0.000 0.000 0.250 x4
3 Te 0.000 0.000 0.000 x4
4 Te 0.148 0.352 0.369 x16

Computed properties:
Formation energy without anion corrections, kJ/mol of atoms: -73.3
Calculated total energy, eV per atom: -5.393
Crystal system: tetragonal
Density of states at the Fermi level, states/eV/cell: 2.13
Offset from the most stable computed form, eV/f.u.: 0.00
Total moment, μB/atom: 0.134